Entry 1:
## Cu3Ag12Se5 (PBE)

Data for a relaxed structure of Cu3Ag12Se5.

Values from the calculation:
- Size of the total moment: 0.000 μB per atom
- Uncorrected formation energy: 0.189 eV per atom
- Space-group type: Ia-3d
- Total energy: -3.01 eV/atom
- Fermi-level density of states: 10.7 states/eV/f.u.

Cell lengths 13.3145, 13.3145, 13.3145 Å; angles 109.47, 109.47, 109.47 degrees
With the nearest neighbours (Å) after each atom.
Atoms (fractional coordinates):
1 Cu 0.1250 0.2500 0.3750  8 Ag 2.73-2.79
2 Cu 0.1250 0.3750 0.7500  8 Ag 2.73-2.79
3 Cu 0.2500 0.3750 0.1250  8 Ag 2.73-2.79
4 Cu 0.2500 0.8750 0.6250  8 Ag 2.73-2.79
5 Cu 0.3750 0.1250 0.2500  8 Ag 2.73-2.79
6 Cu 0.3750 0.7500 0.1250  8 Ag 2.73-2.79
7 Cu 0.6250 0.2500 0.8750  8 Ag 2.73-2.79
8 Cu 0.6250 0.8750 0.7500  8 Ag 2.73-2.79
9 Cu 0.7500 0.1250 0.3750  8 Ag 2.73-2.79
10 Cu 0.7500 0.6250 0.8750  8 Ag 2.73-2.79
11 Cu 0.8750 0.6250 0.2500  8 Ag 2.73-2.79
12 Cu 0.8750 0.7500 0.6250  8 Ag 2.73-2.79
13 Ag 0.0656 0.2289 0.1446  2 Se 2.58-2.64, 2 Cu 2.73-2.79, 1 Ag 2.76
14 Ag 0.0656 0.3367 0.9210  2 Se 2.58-2.64, 2 Cu 2.73-2.79, 1 Ag 2.76
15 Ag 0.0790 0.6446 0.4156  2 Se 2.58-2.64, 2 Cu 2.73-2.79, 1 Ag 2.76
16 Ag 0.0790 0.9344 0.6633  2 Se 2.58-2.64, 2 Cu 2.73-2.79, 1 Ag 2.76
17 Ag 0.0844 0.7289 0.6633  2 Se 2.58-2.64, 2 Cu 2.73-2.79, 1 Ag 2.76
18 Ag 0.0844 0.8554 0.4210  2 Se 2.58-2.64, 2 Cu 2.73-2.79, 1 Ag 2.76
19 Ag 0.1446 0.0656 0.2289  2 Se 2.58-2.64, 2 Cu 2.73-2.79, 1 Ag 2.76
20 Ag 0.1446 0.5790 0.9156  2 Se 2.58-2.64, 2 Cu 2.73-2.79, 1 Ag 2.76
21 Ag 0.1633 0.2289 0.5844  2 Se 2.58-2.64, 2 Cu 2.73-2.79, 1 Ag 2.76
22 Ag 0.1633 0.4344 0.5790  2 Se 2.58-2.64, 2 Cu 2.73-2.79, 1 Ag 2.76
23 Ag 0.2289 0.1446 0.0656  2 Se 2.58-2.64, 2 Cu 2.73-2.79, 1 Ag 2.76
24 Ag 0.2289 0.5844 0.1633  2 Se 2.58-2.64, 2 Cu 2.73-2.79, 1 Ag 2.76
25 Ag 0.2711 0.3367 0.9156  2 Se 2.58-2.64, 2 Cu 2.73-2.79, 1 Ag 2.76
26 Ag 0.2711 0.4344 0.3554  2 Se 2.58-2.64, 2 Cu 2.73-2.79, 1 Ag 2.76
27 Ag 0.3367 0.9156 0.2711  2 Se 2.58-2.64, 2 Cu 2.73-2.79, 1 Ag 2.76
28 Ag 0.3367 0.9210 0.0656  2 Se 2.58-2.64, 2 Cu 2.73-2.79, 1 Ag 2.76
29 Ag 0.3554 0.2711 0.4344  2 Se 2.58-2.64, 2 Cu 2.73-2.79, 1 Ag 2.76
30 Ag 0.3554 0.5844 0.9210  2 Se 2.58-2.64, 2 Cu 2.73-2.79, 1 Ag 2.76
31 Ag 0.4156 0.0790 0.6446  2 Se 2.58-2.64, 2 Cu 2.73-2.79, 1 Ag 2.76
32 Ag 0.4156 0.8367 0.7711  2 Se 2.58-2.64, 2 Cu 2.73-2.79, 1 Ag 2.76
33 Ag 0.4210 0.0844 0.8554  2 Se 2.58-2.64, 2 Cu 2.73-2.79, 1 Ag 2.76
34 Ag 0.4210 0.8367 0.5656  2 Se 2.58-2.64, 2 Cu 2.73-2.79, 1 Ag 2.76
35 Ag 0.4344 0.3554 0.2711  2 Se 2.58-2.64, 2 Cu 2.73-2.79, 1 Ag 2.76
36 Ag 0.4344 0.5790 0.1633  2 Se 2.58-2.64, 2 Cu 2.73-2.79, 1 Ag 2.76
37 Ag 0.5656 0.4210 0.8367  2 Se 2.58-2.64, 2 Cu 2.73-2.79, 1 Ag 2.76
38 Ag 0.5656 0.6446 0.7289  2 Se 2.58-2.64, 2 Cu 2.73-2.79, 1 Ag 2.76
39 Ag 0.5790 0.1633 0.4344  2 Se 2.58-2.64, 2 Cu 2.73-2.79, 1 Ag 2.76
40 Ag 0.5790 0.9156 0.1446  2 Se 2.58-2.64, 2 Cu 2.73-2.79, 1 Ag 2.76
41 Ag 0.5844 0.1633 0.2289  2 Se 2.58-2.64, 2 Cu 2.73-2.79, 1 Ag 2.76
42 Ag 0.5844 0.9210 0.3554  2 Se 2.58-2.64, 2 Cu 2.73-2.79, 1 Ag 2.76
43 Ag 0.6446 0.4156 0.0790  2 Se 2.58-2.64, 2 Cu 2.73-2.79, 1 Ag 2.76
44 Ag 0.6446 0.7289 0.5656  2 Se 2.58-2.64, 2 Cu 2.73-2.79, 1 Ag 2.76
45 Ag 0.6633 0.0790 0.9344  2 Se 2.58-2.64, 2 Cu 2.73-2.79, 1 Ag 2.76
46 Ag 0.6633 0.0844 0.7289  2 Se 2.58-2.64, 2 Cu 2.73-2.79, 1 Ag 2.76
47 Ag 0.7289 0.5656 0.6446  2 Se 2.58-2.64, 2 Cu 2.73-2.79, 1 Ag 2.76
48 Ag 0.7289 0.6633 0.0844  2 Se 2.58-2.64, 2 Cu 2.73-2.79, 1 Ag 2.76
49 Ag 0.7711 0.4156 0.8367  2 Se 2.58-2.64, 2 Cu 2.73-2.79, 1 Ag 2.76
50 Ag 0.7711 0.8554 0.9344  2 Se 2.58-2.64, 2 Cu 2.73-2.79, 1 Ag 2.76
51 Ag 0.8367 0.5656 0.4210  2 Se 2.58-2.64, 2 Cu 2.73-2.79, 1 Ag 2.76
52 Ag 0.8367 0.7711 0.4156  2 Se 2.58-2.64, 2 Cu 2.73-2.79, 1 Ag 2.76
53 Ag 0.8554 0.4210 0.0844  2 Se 2.58-2.64, 2 Cu 2.73-2.79, 1 Ag 2.76
54 Ag 0.8554 0.9344 0.7711  2 Se 2.58-2.64, 2 Cu 2.73-2.79, 1 Ag 2.76
55 Ag 0.9156 0.1446 0.5790  2 Se 2.58-2.64, 2 Cu 2.73-2.79, 1 Ag 2.76
56 Ag 0.9156 0.2711 0.3367  2 Se 2.58-2.64, 2 Cu 2.73-2.79, 1 Ag 2.76
57 Ag 0.9210 0.0656 0.3367  2 Se 2.58-2.64, 2 Cu 2.73-2.79, 1 Ag 2.76
58 Ag 0.9210 0.3554 0.5844  2 Se 2.58-2.64, 2 Cu 2.73-2.79, 1 Ag 2.76
59 Ag 0.9344 0.6633 0.0790  2 Se 2.58-2.64, 2 Cu 2.73-2.79, 1 Ag 2.76
60 Ag 0.9344 0.7711 0.8554  2 Se 2.58-2.64, 2 Cu 2.73-2.79, 1 Ag 2.76
61 Se 0.0000 0.0000 0.0000  6 Ag 2.64
62 Se 0.0000 0.0000 0.5000  6 Ag 2.64
63 Se 0.0000 0.5000 0.0000  6 Ag 2.64
64 Se 0.0000 0.5000 0.5000  6 Ag 2.64
65 Se 0.1250 0.7500 0.8750  4 Ag 2.58
66 Se 0.1250 0.8750 0.2500  4 Ag 2.58
67 Se 0.2500 0.1250 0.8750  4 Ag 2.58
68 Se 0.2500 0.6250 0.3750  4 Ag 2.58
69 Se 0.3750 0.2500 0.6250  4 Ag 2.58
70 Se 0.3750 0.6250 0.7500  4 Ag 2.58
71 Se 0.5000 0.0000 0.0000  6 Ag 2.64
72 Se 0.5000 0.0000 0.5000  6 Ag 2.64
73 Se 0.5000 0.5000 0.0000  6 Ag 2.64
74 Se 0.5000 0.5000 0.5000  6 Ag 2.64
75 Se 0.6250 0.3750 0.2500  4 Ag 2.58
76 Se 0.6250 0.7500 0.3750  4 Ag 2.58
77 Se 0.7500 0.3750 0.6250  4 Ag 2.58
78 Se 0.7500 0.8750 0.1250  4 Ag 2.58
79 Se 0.8750 0.1250 0.7500  4 Ag 2.58
80 Se 0.8750 0.2500 0.1250  4 Ag 2.58

Entry 2:
## Pm2PrNd (PBE)

Data for a relaxed structure of Pm2PrNd.

Values from the calculation:
- Size of the total moment: 0.000 μB per atom
- Space-group type: P4/mmm
- Total energy: -4.75 eV/atom
- Energy of formation: 0.05 eV/f.u.
- ΔE to the lowest computed polymorph: 0.02 eV per formula unit
- Fermi-level density of states: 5.6 states/eV/f.u.

Cell lengths 3.6757, 3.6757, 10.3892 Å; angles 90.00, 90.00, 90.00 degrees
With the nearest neighbours (Å) after each atom.
Atoms (fractional coordinates):
1 Pm 0.0000 0.0000 0.2489  4 Nd 3.67, 4 Pm 3.68, 4 Pr 3.68
2 Pm 0.0000 0.0000 0.7511  4 Nd 3.67, 4 Pm 3.68, 4 Pr 3.68
3 Pr 0.5000 0.5000 0.5000  4 Pr 3.68, 8 Pm 3.68
4 Nd 0.5000 0.5000 0.0000  8 Pm 3.67, 4 Nd 3.68

Entry 3:
## TaAgOs (PBE)

Data for a relaxed structure of TaAgOs.

Values from the calculation:
- Size of the total moment: 0.000 μB per atom
- Space-group type: F-43m
- Total energy: -7.95 eV/atom
- Energy of formation: 2.08 eV/f.u.
- ΔE to the lowest computed polymorph: 1.57 eV per formula unit
- Fermi-level density of states: 0.5 states/eV/f.u.

Cell lengths 6.1721, 6.1721, 6.1721 Å; angles 90.00, 90.00, 90.00 degrees
With the nearest neighbours (Å) after each atom.
Atoms (fractional coordinates):
1 Ta 0.0000 0.0000 0.0000  4 Os 2.67, 4 Ag 2.67
2 Ta 0.0000 0.5000 0.5000  4 Os 2.67, 4 Ag 2.67
3 Ta 0.5000 0.0000 0.5000  4 Os 2.67, 4 Ag 2.67
4 Ta 0.5000 0.5000 0.0000  4 Os 2.67, 4 Ag 2.67
5 Ag 0.2500 0.2500 0.7500  4 Ta 2.67
6 Ag 0.2500 0.7500 0.2500  4 Ta 2.67
7 Ag 0.7500 0.2500 0.2500  4 Ta 2.67
8 Ag 0.7500 0.7500 0.7500  4 Ta 2.67
9 Os 0.2500 0.2500 0.2500  4 Ta 2.67
10 Os 0.2500 0.7500 0.7500  4 Ta 2.67
11 Os 0.7500 0.2500 0.7500  4 Ta 2.67
12 Os 0.7500 0.7500 0.2500  4 Ta 2.67

Entry 4:
## La2TlBP (PBE)

Data for a relaxed structure of La2TlBP.

Values from the calculation:
- Size of the total moment: 0.258 μB per atom
- Space-group type: P4/mmm
- Total energy: -3.62 eV/atom
- Energy of formation: 6.20 eV/f.u.
- Fermi-level density of states: 6.9 states/eV/f.u.

Cell lengths 6.0287, 6.0287, 4.8272 Å; angles 90.00, 90.00, 90.00 degrees
With the nearest neighbours (Å) after each atom.
Atoms (fractional coordinates):
1 La 0.0000 0.5000 0.0000  2 Tl 3.01
2 La 0.5000 0.0000 0.0000  2 Tl 3.01
3 Tl 0.0000 0.0000 0.0000  2 P 2.41
4 B 0.5000 0.5000 0.5000  8 La 3.86, 4 P 4.26
5 P 0.0000 0.0000 0.5000  2 Tl 2.41

Entry 5:
## MgInTc (PBE)

Data for a relaxed structure of MgInTc.

Values from the calculation:
- Size of the total moment: 0.000 μB per atom
- Space-group type: Imm2
- Total energy: -4.66 eV/atom
- Energy of formation: 0.73 eV/f.u.
- ΔE to the lowest computed polymorph: 0.02 eV per formula unit
- Fermi-level density of states: 2.2 states/eV/f.u.

Cell lengths 2.8689, 4.2475, 8.8409 Å; angles 90.00, 90.00, 90.00 degrees
With the nearest neighbours (Å) after each atom.
Atoms (fractional coordinates):
1 Mg 0.0000 0.0000 0.0000  5 In 2.85-3.01, 2 Mg 2.87, 5 Tc 2.91-3.04
2 Mg 0.5000 0.5000 0.5000  5 In 2.85-3.01, 2 Mg 2.87, 5 Tc 2.91-3.04
3 In 0.0000 0.0000 0.3220  5 Mg 2.85-3.01, 2 In 2.87, 5 Tc 2.95-2.96
4 In 0.5000 0.5000 0.8220  5 Mg 2.85-3.01, 2 In 2.87, 5 Tc 2.95-2.96
5 Tc 0.0000 0.0000 0.6566  2 Tc 2.87, 5 Mg 2.91-3.04, 5 In 2.95-2.96
6 Tc 0.5000 0.5000 0.1566  2 Tc 2.87, 5 Mg 2.91-3.04, 5 In 2.95-2.96

Entry 6:
## CaPrNdIn (PBE)

Data for a relaxed structure of CaPrNdIn.

Values from the calculation:
- Size of the total moment: 0.000 μB per atom
- Space-group type: F-43m
- Total energy: -3.77 eV/atom
- Energy of formation: -0.81 eV/f.u.
- Fermi-level density of states: 2.8 states/eV/f.u.

Cell lengths 7.9791, 7.9791, 7.9791 Å; angles 90.00, 90.00, 90.00 degrees
With the nearest neighbours (Å) after each atom.
Atoms (fractional coordinates):
1 Ca 0.0000 0.0000 0.0000  4 Pr 3.46, 4 Nd 3.46
2 Ca 0.0000 0.5000 0.5000  4 Pr 3.46, 4 Nd 3.46
3 Ca 0.5000 0.0000 0.5000  4 Pr 3.46, 4 Nd 3.46
4 Ca 0.5000 0.5000 0.0000  4 Pr 3.46, 4 Nd 3.46
5 Pr 0.2500 0.2500 0.2500  4 In 3.46, 4 Ca 3.46
6 Pr 0.2500 0.7500 0.7500  4 In 3.46, 4 Ca 3.46
7 Pr 0.7500 0.2500 0.7500  4 In 3.46, 4 Ca 3.46
8 Pr 0.7500 0.7500 0.2500  4 In 3.46, 4 Ca 3.46
9 Nd 0.2500 0.2500 0.7500  4 In 3.46, 4 Ca 3.46
10 Nd 0.2500 0.7500 0.2500  4 In 3.46, 4 Ca 3.46
11 Nd 0.7500 0.2500 0.2500  4 In 3.46, 4 Ca 3.46
12 Nd 0.7500 0.7500 0.7500  4 In 3.46, 4 Ca 3.46
13 In 0.0000 0.0000 0.5000  4 Pr 3.46, 4 Nd 3.46
14 In 0.0000 0.5000 0.0000  4 Pr 3.46, 4 Nd 3.46
15 In 0.5000 0.0000 0.0000  4 Pr 3.46, 4 Nd 3.46
16 In 0.5000 0.5000 0.5000  4 Pr 3.46, 4 Nd 3.46

Entry 7:
## ZrZnCoW2 (PBE)

Data for a relaxed structure of ZrZnCoW2.

Values from the calculation:
- Size of the total moment: 0.353 μB per atom
- Space-group type: P4/mmm
- Total energy: -7.25 eV/atom
- Energy of formation: 6.60 eV/f.u.
- Fermi-level density of states: 6.6 states/eV/f.u.

Cell lengths 4.6545, 4.6545, 4.2134 Å; angles 90.00, 90.00, 90.00 degrees
With the nearest neighbours (Å) after each atom.
Atoms (fractional coordinates):
1 Zr 0.0000 0.0000 0.0000  8 W 3.14, 4 Co 3.29
2 Zn 0.5000 0.5000 0.5000  2 Co 2.11, 4 W 2.33
3 Co 0.5000 0.5000 0.0000  2 Zn 2.11
4 W 0.0000 0.5000 0.5000  2 Zn 2.33
5 W 0.5000 0.0000 0.5000  2 Zn 2.33

Entry 8:
## ScAs2Se (PBE)

Data for a relaxed structure of ScAs2Se.

Values from the calculation:
- Size of the total moment: 0.000 μB per atom
- Uncorrected formation energy: -0.524 eV per atom
- Space-group type: P4/mmm
- Total energy: -5.30 eV/atom
- Fermi-level density of states: 2.3 states/eV/f.u.

Cell lengths 3.7777, 3.7777, 5.8465 Å; angles 90.00, 90.00, 90.00 degrees
With the nearest neighbours (Å) after each atom.
Atoms (fractional coordinates):
1 Sc 0.0000 0.0000 0.0000  4 Se 2.67
2 As 0.0000 0.5000 0.5000  4 As 2.67
3 As 0.5000 0.0000 0.5000  4 As 2.67
4 Se 0.5000 0.5000 0.0000  4 Sc 2.67

Entry 9:
## LiYBeAl (PBE)

Data for a relaxed structure of LiYBeAl.

Values from the calculation:
- Size of the total moment: 0.000 μB per atom
- Space-group type: F-43m
- Total energy: -4.11 eV/atom
- Energy of formation: -0.59 eV/f.u.
- Fermi-level density of states: 1.3 states/eV/f.u.

Cell lengths 6.4130, 6.4130, 6.4130 Å; angles 90.00, 90.00, 90.00 degrees
With the nearest neighbours (Å) after each atom.
Atoms (fractional coordinates):
1 Li 0.0000 0.0000 0.0000  4 Al 2.78, 4 Y 2.78
2 Li 0.0000 0.5000 0.5000  4 Al 2.78, 4 Y 2.78
3 Li 0.5000 0.0000 0.5000  4 Al 2.78, 4 Y 2.78
4 Li 0.5000 0.5000 0.0000  4 Al 2.78, 4 Y 2.78
5 Y 0.2500 0.2500 0.7500  4 Li 2.78, 4 Be 2.78
6 Y 0.2500 0.7500 0.2500  4 Li 2.78, 4 Be 2.78
7 Y 0.7500 0.2500 0.2500  4 Li 2.78, 4 Be 2.78
8 Y 0.7500 0.7500 0.7500  4 Li 2.78, 4 Be 2.78
9 Be 0.0000 0.0000 0.5000  4 Al 2.78, 4 Y 2.78
10 Be 0.0000 0.5000 0.0000  4 Al 2.78, 4 Y 2.78
11 Be 0.5000 0.0000 0.0000  4 Al 2.78, 4 Y 2.78
12 Be 0.5000 0.5000 0.5000  4 Al 2.78, 4 Y 2.78
13 Al 0.2500 0.2500 0.2500  4 Be 2.78, 4 Li 2.78
14 Al 0.2500 0.7500 0.7500  4 Be 2.78, 4 Li 2.78
15 Al 0.7500 0.2500 0.7500  4 Be 2.78, 4 Li 2.78
16 Al 0.7500 0.7500 0.2500  4 Be 2.78, 4 Li 2.78

Entry 10:
## Ge4Br (PBE)

Data for a relaxed structure of Ge4Br.

Values from the calculation:
- Size of the total moment: 0.000 μB per atom
- Uncorrected formation energy: 1.019 eV per atom
- Space-group type: Pm-3m
- Total energy: -3.01 eV/atom
- Fermi-level density of states: 3.1 states/eV/f.u.

Cell lengths 5.1834, 5.1834, 5.1834 Å; angles 90.00, 90.00, 90.00 degrees
With the nearest neighbours (Å) after each atom.
Atoms (fractional coordinates):
1 Ge 0.0000 0.0000 0.0000  12 Ge 3.67
2 Ge 0.0000 0.5000 0.5000  2 Br 2.59
3 Ge 0.5000 0.0000 0.5000  2 Br 2.59
4 Ge 0.5000 0.5000 0.0000  2 Br 2.59
5 Br 0.5000 0.5000 0.5000  6 Ge 2.59

Entry 11:
## Y3NpTl4Te8 (PBE)

Data for a relaxed structure of Y3NpTl4Te8.

Values from the calculation:
- Size of the total moment: 0.250 μB per atom
- Uncorrected formation energy: -0.936 eV per atom
- Space-group type: R-3m
- Total energy: -5.12 eV/atom
- Fermi-level density of states: 6.5 states/eV/f.u.

Cell lengths 9.6587, 9.6587, 9.6587 Å; angles 55.12, 55.12, 55.12 degrees
With the nearest neighbours (Å) after each atom.
Atoms (fractional coordinates):
1 Y 0.0000 0.5000 0.5000  6 Te 3.11
2 Y 0.5000 0.0000 0.5000  6 Te 3.11
3 Y 0.5000 0.5000 0.0000  6 Te 3.11
4 Np 0.0000 0.0000 0.0000  6 Te 3.14
5 Tl 0.0000 0.0000 0.5000  6 Te 3.48-3.49
6 Tl 0.0000 0.5000 0.0000  6 Te 3.48-3.49
7 Tl 0.5000 0.0000 0.0000  6 Te 3.48-3.49
8 Tl 0.5000 0.5000 0.5000  6 Te 3.46
9 Te 0.2399 0.2399 0.7346  2 Y 3.11, 1 Np 3.14, 1 Tl 3.46
10 Te 0.2399 0.7346 0.2399  2 Y 3.11, 1 Np 3.14, 1 Tl 3.46
11 Te 0.2622 0.2622 0.2622  3 Y 3.11, 3 Tl 3.48
12 Te 0.2654 0.7601 0.7601  2 Y 3.11, 1 Np 3.14, 1 Tl 3.46
13 Te 0.7346 0.2399 0.2399  2 Y 3.11, 1 Np 3.14, 1 Tl 3.46
14 Te 0.7378 0.7378 0.7378  3 Y 3.11, 3 Tl 3.48
15 Te 0.7601 0.2654 0.7601  2 Y 3.11, 1 Np 3.14, 1 Tl 3.46
16 Te 0.7601 0.7601 0.2654  2 Y 3.11, 1 Np 3.14, 1 Tl 3.46

Entry 12:
## Pr2Cu12Ni3Hg (PBE)

Data for a relaxed structure of Pr2Cu12Ni3Hg.

Values from the calculation:
- Size of the total moment: 0.000 μB per atom
- Space-group type: R-3m
- Total energy: -4.12 eV/atom
- Energy of formation: 2.22 eV/f.u.
- Fermi-level density of states: 7.9 states/eV/f.u.

Cell lengths 6.4919, 6.4919, 6.4919 Å; angles 83.55, 83.55, 83.55 degrees
With the nearest neighbours (Å) after each atom.
Atoms (fractional coordinates):
1 Pr 0.2444 0.2444 0.2444  3 Ni 2.73, 6 Cu 2.88-2.92
2 Pr 0.7556 0.7556 0.7556  3 Ni 2.73, 6 Cu 2.88-2.92
3 Cu 0.0775 0.0775 0.6517  6 Cu 2.41-2.66
4 Cu 0.0775 0.6517 0.0775  6 Cu 2.41-2.66
5 Cu 0.2099 0.7048 0.7048  5 Cu 2.41-2.66, 1 Hg 2.52, 1 Ni 2.57
6 Cu 0.2952 0.2952 0.7901  5 Cu 2.41-2.66, 1 Hg 2.52, 1 Ni 2.57
7 Cu 0.2952 0.7901 0.2952  5 Cu 2.41-2.66, 1 Hg 2.52, 1 Ni 2.57
8 Cu 0.3483 0.9225 0.9225  6 Cu 2.41-2.66
9 Cu 0.6517 0.0775 0.0775  6 Cu 2.41-2.66
10 Cu 0.7048 0.2099 0.7048  5 Cu 2.41-2.66, 1 Hg 2.52, 1 Ni 2.57
11 Cu 0.7048 0.7048 0.2099  5 Cu 2.41-2.66, 1 Hg 2.52, 1 Ni 2.57
12 Cu 0.7901 0.2952 0.2952  5 Cu 2.41-2.66, 1 Hg 2.52, 1 Ni 2.57
13 Cu 0.9225 0.3483 0.9225  6 Cu 2.41-2.66
14 Cu 0.9225 0.9225 0.3483  6 Cu 2.41-2.66
15 Ni 0.0000 0.5000 0.5000  6 Cu 2.57-2.82, 2 Pr 2.73
16 Ni 0.5000 0.0000 0.5000  6 Cu 2.57-2.82, 2 Pr 2.73
17 Ni 0.5000 0.5000 0.0000  6 Cu 2.57-2.82, 2 Pr 2.73
18 Hg 0.5000 0.5000 0.5000  6 Cu 2.52